A plane-wave DFT calculation with PBE-GGA was carried out for a relaxed PaMnW crystal.

Results
Crystal system ... trigonal
Spin magnetization ... 1.01 μB/f.u.
E_form ... 0.6560 eV/atom
Total energy ... -9.8836 eV per atom
Distance to the lowest polymorph of the same formula ... 502 meV per atom

Unit cell a=7.275 b=7.275 c=7.275 alpha=23.34 beta=23.34 gamma=23.34
Atoms (fractional coordinates):
Pa (0.000, 0.000, 0.000)
Mn (0.110, 0.110, 0.110)
W (0.866, 0.866, 0.866)

***

A plane-wave DFT calculation with PBE-GGA was carried out for a relaxed PaMn4W crystal.

Results
Crystal system ... cubic
Spin magnetization ... 5.59 μB/f.u.
E_form ... 0.1328 eV/atom
Total energy ... -9.7217 eV per atom

Unit cell a=4.953 b=4.953 c=4.953 alpha=60.00 beta=60.00 gamma=60.00
Atoms (fractional coordinates):
Pa (0.000, 0.000, 0.000)
Mn (0.126, 0.625, 0.625)
Mn (0.625, 0.126, 0.625)
Mn (0.625, 0.625, 0.126)
Mn (0.625, 0.625, 0.625)
W (0.250, 0.250, 0.250)

***

A plane-wave DFT calculation with PBE-GGA was carried out for a relaxed PaMn2W crystal.

Results
Crystal system ... trigonal
Spin magnetization ... 3.34 μB/f.u.
E_form ... 0.4499 eV/atom
Total energy ... -9.7472 eV per atom
Distance to the lowest polymorph of the same formula ... 365 meV per atom

Unit cell a=9.019 b=9.019 c=9.019 alpha=18.79 beta=18.79 gamma=18.79
Atoms (fractional coordinates):
Pa (0.000, 0.000, 0.000)
Mn (0.239, 0.239, 0.239)
Mn (0.761, 0.761, 0.761)
W (0.500, 0.500, 0.500)

***

A plane-wave DFT calculation with PBE-GGA was carried out for a relaxed PaMnW2 crystal.

Results
Crystal system ... trigonal
Spin magnetization ... 1.17 μB/f.u.
E_form ... 0.4719 eV/atom
Total energy ... -10.6710 eV per atom

Unit cell a=9.618 b=9.618 c=9.618 alpha=17.32 beta=17.32 gamma=17.32
Atoms (fractional coordinates):
Pa (0.000, 0.000, 0.000)
Mn (0.500, 0.500, 0.500)
W (0.237, 0.237, 0.237)
W (0.763, 0.763, 0.763)

***

A plane-wave DFT calculation with PBE-GGA was carried out for a relaxed YPaMn17 crystal.

Results
Crystal system ... trigonal
Spin magnetization ... 5.60 μB/f.u.
E_form ... -0.0037 eV/atom
Total energy ... -9.0480 eV per atom

Unit cell a=6.302 b=6.302 c=6.302 alpha=86.10 beta=86.10 gamma=86.10
Atoms (fractional coordinates):
Y (0.000, 0.000, 0.000)
Pa (0.705, 0.705, 0.705)
Mn (0.079, 0.354, 0.626)
Mn (0.079, 0.626, 0.354)
Mn (0.232, 0.710, 0.710)
Mn (0.255, 0.255, 0.255)
Mn (0.350, 0.350, 0.854)
Mn (0.350, 0.854, 0.350)
Mn (0.354, 0.079, 0.626)
Mn (0.354, 0.626, 0.079)
Mn (0.457, 0.457, 0.457)
Mn (0.486, 0.995, 0.995)
Mn (0.626, 0.079, 0.354)
Mn (0.626, 0.354, 0.079)
Mn (0.710, 0.232, 0.710)
Mn (0.710, 0.710, 0.232)
Mn (0.854, 0.350, 0.350)
Mn (0.995, 0.486, 0.995)
Mn (0.995, 0.995, 0.486)

***

A plane-wave DFT calculation with PBE-GGA was carried out for a relaxed YPaMn2 crystal.

Results
Crystal system ... tetragonal
Spin magnetization ... 3.18 μB/f.u.
E_form ... 0.2246 eV/atom
Total energy ... -8.3502 eV per atom
Distance to the lowest polymorph of the same formula ... 171 meV per atom

Unit cell a=4.817 b=4.817 c=3.378 alpha=90.00 beta=90.00 gamma=90.00
Atoms (fractional coordinates):
Y (0.000, 0.000, 0.000)
Pa (0.500, 0.500, 0.000)
Mn (0.000, 0.500, 0.500)
Mn (0.500, 0.000, 0.500)

***

A plane-wave DFT calculation with PBE-GGA was carried out for a relaxed YPaMn2 crystal.

Results
Crystal system ... trigonal
Spin magnetization ... 2.42 μB/f.u.
E_form ... 0.0533 eV/atom
Total energy ... -8.5215 eV per atom
Distance to the lowest polymorph of the same formula ... 0 meV per atom

Unit cell a=5.568 b=5.568 c=5.568 alpha=45.68 beta=45.68 gamma=45.68
Atoms (fractional coordinates):
Y (0.000, 0.000, 0.000)
Pa (0.500, 0.500, 0.500)
Mn (0.204, 0.204, 0.204)
Mn (0.796, 0.796, 0.796)

***

A plane-wave DFT calculation with PBE-GGA was carried out for a relaxed YPaMn2 crystal.

Results
Crystal system ... tetragonal
Spin magnetization ... 3.17 μB/f.u.
E_form ... 0.0805 eV/atom
Total energy ... -8.4942 eV per atom
Distance to the lowest polymorph of the same formula ... 27 meV per atom

Unit cell a=3.367 b=3.367 c=6.949 alpha=90.00 beta=90.00 gamma=90.00
Atoms (fractional coordinates):
Y (0.000, 0.000, 0.000)
Pa (0.000, 0.000, 0.500)
Mn (0.500, 0.500, 0.298)
Mn (0.500, 0.500, 0.702)